ZrScTlS after structural relaxation. Source: the Alexandria database, functional PBE.

a = 3.5606 Å, b = 3.5606 Å, c = 23.1923 Å
α = 90.00°, β = 90.00°, γ = 120.00°
Space group R3m (No. 160, hexagonal axes)
Inequivalent atoms, fractional coordinates:
1 Zr 0.0000 0.0000 0.0000 [3 per cell]
2 Sc 0.0000 0.0000 0.2055 [3 per cell]
3 Tl 0.0000 0.0000 0.7711 [3 per cell]
4 S 0.0000 0.0000 0.6010 [3 per cell]

**Total magnetization**: 0.00 μB per cell
**Mass density**: 7.290 g cm⁻³
**Formation energy without anion corrections**: -978 meV/atom